1.
The following is a PBE calculation of an optimized crystal structure of Rb3NbRe, from Alexandria.

```
data_Rb3NbRe
_space_group_name_H-M_alt 'P m -3 m'
_space_group_IT_number 221
_space_group_name_Hall '-P 4 2 3'
_cell_length_a 6.625
_cell_length_b 6.625
_cell_length_c 6.625
_cell_angle_alpha 90.00
_cell_angle_beta 90.00
_cell_angle_gamma 90.00
loop_
_atom_site_label
_atom_site_type_symbol
_atom_site_fract_x
_atom_site_fract_y
_atom_site_fract_z
_atom_site_occupancy
Rb1 Rb 0.000 0.000 0.500 1
Nb1 Nb 0.500 0.500 0.500 1
Re1 Re 0.000 0.000 0.000 1
```

Values from the calculation:
Uncorrected energy   -13.6 eV per cell
ΔE to the lowest computed polymorph   0.0000 eV/atom
DOS(E_F)   15.73 states/eV/f.u.
Energy relative to the elements   11.82 eV per formula unit



2.
The following is a PBE calculation of an optimized crystal structure of Rb2NbRe, from Alexandria.

```
data_Rb2NbRe
_space_group_name_H-M_alt 'I -4 2 d'
_space_group_IT_number 122
_space_group_name_Hall 'I -4 2bw'
_cell_length_a 4.001
_cell_length_b 4.001
_cell_length_c 26.019
_cell_angle_alpha 90.00
_cell_angle_beta 90.00
_cell_angle_gamma 90.00
loop_
_atom_site_label
_atom_site_type_symbol
_atom_site_fract_x
_atom_site_fract_y
_atom_site_fract_z
_atom_site_occupancy
Rb1 Rb 0.249 0.250 0.125 1
Nb1 Nb 0.000 0.000 0.500 1
Re1 Re 0.000 0.000 0.000 1
```

Values from the calculation:
Uncorrected energy   -69.1 eV per cell
ΔE to the lowest computed polymorph   0.0000 eV/atom
DOS(E_F)   3.79 states/eV/f.u.
Energy relative to the elements   7.18 eV per formula unit



3.
The following is a PBE calculation of an optimized crystal structure of RbNbReSn2, from Alexandria.

```
data_RbNbReSn2
_space_group_name_H-M_alt 'P 4/m m m'
_space_group_IT_number 123
_space_group_name_Hall '-P 4 2'
_cell_length_a 5.441
_cell_length_b 5.441
_cell_length_c 4.747
_cell_angle_alpha 90.00
_cell_angle_beta 90.00
_cell_angle_gamma 90.00
loop_
_atom_site_label
_atom_site_type_symbol
_atom_site_fract_x
_atom_site_fract_y
_atom_site_fract_z
_atom_site_occupancy
Rb1 Rb 0.000 0.000 0.000 1
Nb1 Nb 0.000 0.000 0.500 1
Re1 Re 0.500 0.500 0.500 1
Sn1 Sn 0.000 0.500 0.000 1
```

Values from the calculation:
Uncorrected energy   -15.6 eV per cell
DOS(E_F)   11.18 states/eV/f.u.
Energy relative to the elements   15.93 eV per formula unit



4.
The following is a PBE calculation of an optimized crystal structure of Rb2SrNbRe, from Alexandria.

```
data_Rb2SrNbRe
_space_group_name_H-M_alt 'P 4/m m m'
_space_group_IT_number 123
_space_group_name_Hall '-P 4 2'
_cell_length_a 6.729
_cell_length_b 6.729
_cell_length_c 5.206
_cell_angle_alpha 90.00
_cell_angle_beta 90.00
_cell_angle_gamma 90.00
loop_
_atom_site_label
_atom_site_type_symbol
_atom_site_fract_x
_atom_site_fract_y
_atom_site_fract_z
_atom_site_occupancy
Rb1 Rb 0.000 0.500 0.000 1
Sr1 Sr 0.000 0.000 0.000 1
Nb1 Nb 0.500 0.500 0.500 1
Re1 Re 0.000 0.000 0.500 1
```

Values from the calculation:
Uncorrected energy   -13.9 eV per cell
DOS(E_F)   8.25 states/eV/f.u.
Energy relative to the elements   12.28 eV per formula unit



5.
The following is a PBE calculation of an optimized crystal structure of RbNb2Rh, from Alexandria.

```
data_RbNb2Rh
_space_group_name_H-M_alt 'I -4 2 d'
_space_group_IT_number 122
_space_group_name_Hall 'I -4 2bw'
_cell_length_a 5.208
_cell_length_b 5.208
_cell_length_c 17.852
_cell_angle_alpha 90.00
_cell_angle_beta 90.00
_cell_angle_gamma 90.00
loop_
_atom_site_label
_atom_site_type_symbol
_atom_site_fract_x
_atom_site_fract_y
_atom_site_fract_z
_atom_site_occupancy
Rb1 Rb 0.000 0.000 0.000 1
Nb1 Nb 0.012 0.750 0.625 1
Rh1 Rh 0.000 0.000 0.500 1
```

Values from the calculation:
Uncorrected energy   -92.7 eV per cell
ΔE to the lowest computed polymorph   0.1185 eV/atom
DOS(E_F)   6.41 states/eV/f.u.
Energy relative to the elements   5.28 eV per formula unit



6.
The following is a PBE calculation of an optimized crystal structure of Rb2NbRh, from Alexandria.

```
data_Rb2NbRh
_space_group_name_H-M_alt 'F m -3 m'
_space_group_IT_number 225
_space_group_name_Hall '-F 4 2 3'
_cell_length_a 8.041
_cell_length_b 8.041
_cell_length_c 8.041
_cell_angle_alpha 90.00
_cell_angle_beta 90.00
_cell_angle_gamma 90.00
loop_
_atom_site_label
_atom_site_type_symbol
_atom_site_fract_x
_atom_site_fract_y
_atom_site_fract_z
_atom_site_occupancy
Rb1 Rb 0.250 0.250 0.250 1
Nb1 Nb 0.000 0.000 0.000 1
Rh1 Rh 0.000 0.000 0.500 1
```

Values from the calculation:
Uncorrected energy   -49.2 eV per cell
ΔE to the lowest computed polymorph   0.7185 eV/atom
DOS(E_F)   5.22 states/eV/f.u.
Energy relative to the elements   7.05 eV per formula unit



7.
The following is a PBE calculation of an optimized crystal structure of RbNb2Rh, from Alexandria.

```
data_RbNb2Rh
_space_group_name_H-M_alt 'F m -3 m'
_space_group_IT_number 225
_space_group_name_Hall '-F 4 2 3'
_cell_length_a 6.723
_cell_length_b 6.723
_cell_length_c 6.723
_cell_angle_alpha 90.00
_cell_angle_beta 90.00
_cell_angle_gamma 90.00
loop_
_atom_site_label
_atom_site_type_symbol
_atom_site_fract_x
_atom_site_fract_y
_atom_site_fract_z
_atom_site_occupancy
Rb1 Rb 0.000 0.000 0.000 1
Nb1 Nb 0.250 0.250 0.250 1
Rh1 Rh 0.000 0.000 0.500 1
```

Values from the calculation:
Uncorrected energy   -94.6 eV per cell
ΔE to the lowest computed polymorph   0.0000 eV/atom
DOS(E_F)   3.27 states/eV/f.u.
Energy relative to the elements   4.81 eV per formula unit



8.
The following is a PBE calculation of an optimized crystal structure of Rb2NbRh, from Alexandria.

```
data_Rb2NbRh
_space_group_name_H-M_alt 'I -4 2 d'
_space_group_IT_number 122
_space_group_name_Hall 'I -4 2bw'
_cell_length_a 12.944
_cell_length_b 12.944
_cell_length_c 4.867
_cell_angle_alpha 90.00
_cell_angle_beta 90.00
_cell_angle_gamma 90.00
loop_
_atom_site_label
_atom_site_type_symbol
_atom_site_fract_x
_atom_site_fract_y
_atom_site_fract_z
_atom_site_occupancy
Rb1 Rb 0.077 0.250 0.125 1
Nb1 Nb 0.000 0.000 0.500 1
Rh1 Rh 0.000 0.000 0.000 1
```

Values from the calculation:
Uncorrected energy   -60.7 eV per cell
ΔE to the lowest computed polymorph   0.0000 eV/atom
DOS(E_F)   6.98 states/eV/f.u.
Energy relative to the elements   4.18 eV per formula unit



9.
The following is a PBE calculation of an optimized crystal structure of Rb3NbRh2Se6, from Alexandria.

```
data_Rb3NbRh2Se6
_space_group_name_H-M_alt 'C 1 2/m 1'
_space_group_IT_number 12
_space_group_name_Hall '-C 2y'
_cell_length_a 6.876
_cell_length_b 11.896
_cell_length_c 7.883
_cell_angle_alpha 90.00
_cell_angle_beta 106.91
_cell_angle_gamma 90.00
loop_
_atom_site_label
_atom_site_type_symbol
_atom_site_fract_x
_atom_site_fract_y
_atom_site_fract_z
_atom_site_occupancy
Rb1 Rb 0.000 0.000 0.000 1
Rb2 Rb 0.000 0.336 0.000 1
Nb1 Nb 0.000 0.500 0.500 1
Rh1 Rh 0.000 0.167 0.500 1
Se1 Se 0.211 0.000 0.667 1
Se2 Se 0.228 0.328 0.668 1
```

Values from the calculation:
ΔE_f (raw)   -0.6879 eV per atom
Uncorrected energy   -113.7 eV per cell
DOS(E_F)   8.24 states/eV/f.u.



10.
The following is a PBE calculation of an optimized crystal structure of RbSr2NbRh, from Alexandria.

```
data_RbSr2NbRh
_space_group_name_H-M_alt 'P 4/m m m'
_space_group_IT_number 123
_space_group_name_Hall '-P 4 2'
_cell_length_a 6.299
_cell_length_b 6.299
_cell_length_c 4.789
_cell_angle_alpha 90.00
_cell_angle_beta 90.00
_cell_angle_gamma 90.00
loop_
_atom_site_label
_atom_site_type_symbol
_atom_site_fract_x
_atom_site_fract_y
_atom_site_fract_z
_atom_site_occupancy
Rb1 Rb 0.000 0.000 0.000 1
Sr1 Sr 0.000 0.500 0.500 1
Nb1 Nb 0.500 0.500 0.500 1
Rh1 Rh 0.500 0.500 0.000 1
```

Values from the calculation:
Uncorrected energy   -18.6 eV per cell
DOS(E_F)   5.57 states/eV/f.u.
Energy relative to the elements   3.15 eV per formula unit



11.
The following is a PBE calculation of an optimized crystal structure of RbTaNb2Rh, from Alexandria.

```
data_RbTaNb2Rh
_space_group_name_H-M_alt 'P 4/m m m'
_space_group_IT_number 123
_space_group_name_Hall '-P 4 2'
_cell_length_a 4.884
_cell_length_b 4.884
_cell_length_c 5.699
_cell_angle_alpha 90.00
_cell_angle_beta 90.00
_cell_angle_gamma 90.00
loop_
_atom_site_label
_atom_site_type_symbol
_atom_site_fract_x
_atom_site_fract_y
_atom_site_fract_z
_atom_site_occupancy
Rb1 Rb 0.000 0.000 0.000 1
Ta1 Ta 0.000 0.000 0.500 1
Nb1 Nb 0.000 0.500 0.500 1
Rh1 Rh 0.500 0.500 0.000 1
```

Values from the calculation:
Uncorrected energy   -29.9 eV per cell
DOS(E_F)   8.21 states/eV/f.u.
Energy relative to the elements   10.40 eV per formula unit



12.
The following is a PBE calculation of an optimized crystal structure of RbNbRu3, from Alexandria.

```
data_RbNbRu3
_space_group_name_H-M_alt 'P m -3 m'
_space_group_IT_number 221
_space_group_name_Hall '-P 4 2 3'
_cell_length_a 4.639
_cell_length_b 4.639
_cell_length_c 4.639
_cell_angle_alpha 90.00
_cell_angle_beta 90.00
_cell_angle_gamma 90.00
loop_
_atom_site_label
_atom_site_type_symbol
_atom_site_fract_x
_atom_site_fract_y
_atom_site_fract_z
_atom_site_occupancy
Rb1 Rb 0.000 0.000 0.000 1
Nb1 Nb 0.500 0.500 0.500 1
Ru1 Ru 0.000 0.000 0.500 1
```

Values from the calculation:
Uncorrected energy   -24.2 eV per cell
ΔE to the lowest computed polymorph   1.4492 eV/atom
DOS(E_F)   5.55 states/eV/f.u.
Energy relative to the elements   14.63 eV per formula unit